Entry 1:
Computed, not measured: a relaxed CrOs2Pb crystal at the PBE-GGA level of DFT.

## Properties
Energy of formation from the pure elements in eV/atom: 0.7460

a b c (Å): 4.8195 4.8195 4.8195
angles (deg): 130.05 130.05 73.33
Closest atoms and distances in Å follow each position.
Positions (direct):
Cr  0.7500  0.2500  0.5000  8 Os 2.81, 4 Pb 2.88
Os  0.0000  0.0000  0.0000  4 Cr 2.81, 4 Pb 2.81, 4 Os 2.88
Os  0.5000  0.5000  0.0000  4 Pb 2.81, 4 Cr 2.81, 4 Os 2.88
Pb  0.2500  0.7500  0.5000  8 Os 2.81, 4 Cr 2.88

=====

Entry 2:
Computed, not measured: a relaxed TlCrOs2Pb crystal at the PBE-GGA level of DFT.

## Properties
Energy of formation from the pure elements in eV/atom: 3.0543

a b c (Å): 4.9794 5.3842 4.9794
angles (deg): 90.00 90.00 90.00
Closest atoms and distances in Å follow each position.
Positions (direct):
Pb  0.0000  0.5000  0.0000  2 Tl 2.69
Cr  0.5000  0.5000  0.5000  4 Pb 3.52, 8 Os 3.67
Tl  0.0000  0.0000  0.0000  4 Os 2.49, 2 Pb 2.69
Os  0.0000  0.0000  0.5000  2 Tl 2.49
Os  0.5000  0.0000  0.0000  2 Tl 2.49

=====

Entry 3:
Computed, not measured: a relaxed Cr2OsPd crystal at the PBE-GGA level of DFT.

## Properties
Energy of formation from the pure elements in eV/atom: 0.7281

a b c (Å): 6.7110 6.7110 5.4256
angles (deg): 51.80 51.80 90.00
Closest atoms and distances in Å follow each position.
Positions (direct):
Cr  0.6496  0.1250  0.2500  2 Os 2.35, 2 Pd 2.58
Cr  0.1004  0.6250  0.2500  2 Os 2.35, 2 Pd 2.58
Cr  0.3750  0.3504  0.7500  2 Os 2.35, 2 Pd 2.58
Cr  0.8750  0.8996  0.7500  2 Os 2.35, 2 Pd 2.58
Os  0.0000  0.0000  0.0000  4 Cr 2.35, 2 Pd 2.63
Os  0.7500  0.2500  0.5000  4 Cr 2.35, 2 Pd 2.63
Pd  0.5000  0.5000  0.0000  4 Cr 2.58, 2 Os 2.63
Pd  0.2500  0.7500  0.5000  4 Cr 2.58, 2 Os 2.63

=====

Entry 4:
Computed, not measured: a relaxed CrOsPd3 crystal at the PBE-GGA level of DFT.

## Properties
Energy of formation from the pure elements in eV/atom: 1.5687

a b c (Å): 4.5079 4.5079 4.5079
angles (deg): 90.00 90.00 90.00
Closest atoms and distances in Å follow each position.
Positions (direct):
Cr  0.0000  0.0000  0.0000  6 Pd 2.25
Os  0.5000  0.5000  0.5000  12 Pd 3.19
Pd  0.0000  0.5000  0.0000  2 Cr 2.25
Pd  0.0000  0.0000  0.5000  2 Cr 2.25
Pd  0.5000  0.0000  0.0000  2 Cr 2.25

=====

Entry 5:
Computed, not measured: a relaxed CrOs3Pd crystal at the PBE-GGA level of DFT.

## Properties
Energy of formation from the pure elements in eV/atom: 1.7082

a b c (Å): 4.4202 4.4202 4.4202
angles (deg): 90.00 90.00 90.00
Closest atoms and distances in Å follow each position.
Positions (direct):
Cr  0.0000  0.0000  0.0000  6 Os 2.21
Os  0.0000  0.5000  0.0000  2 Cr 2.21
Os  0.0000  0.0000  0.5000  2 Cr 2.21
Os  0.5000  0.0000  0.0000  2 Cr 2.21
Pd  0.5000  0.5000  0.5000  12 Os 3.13

=====

Entry 6:
Computed, not measured: a relaxed Cr2OsPd2 crystal at the PBE-GGA level of DFT.

## Properties
Energy of formation from the pure elements in eV/atom: 0.7242

a b c (Å): 3.2497 3.2497 7.2408
angles (deg): 77.03 77.03 90.00
Closest atoms and distances in Å follow each position.
Positions (direct):
Cr  0.7500  0.2500  0.5000  4 Cr 2.30
Cr  0.2500  0.7500  0.5000  4 Cr 2.30
Os  0.0000  0.0000  0.0000  8 Pd 2.68
Pd  0.3991  0.3991  0.2018  4 Cr 2.61, 4 Os 2.68, 1 Pd 2.77
Pd  0.6009  0.6009  0.7982  4 Cr 2.61, 4 Os 2.68, 1 Pd 2.77

=====

> Number 3 is which compound?

Cr2OsPd

=====

> What is the energy of formation from the pure elements in the fifth record?

1.7082 eV/atom

=====

> Which formula does entry 6 have?

Cr2OsPd2

=====

> energy of formation from the pure elements of number 5 (CrOs3Pd)?

1.7082 eV/atom